a) A relaxed structure of La4DyTm4. Source: Alexandria, functional PBE.

Unit cell a=6.0782 b=6.0782 c=19.7194 alpha=90.00 beta=90.00 gamma=90.00
Space group I-42m (No. 121)
One atom of each set of equivalent atoms:
1 La 0.0000 0.0000 0.1427
2 La 0.0000 0.5000 0.0000
3 Dy 0.0000 0.0000 0.0000
4 Tm 0.1810 0.1810 0.7068

Computed properties:
The calculation puts the total magnetic moment at 0.00 μB per formula unit.

b) A relaxed structure of La4DyTm4. Source: Alexandria, functional PBE.

Unit cell a=10.8126 b=10.8126 c=5.1375 alpha=90.00 beta=90.00 gamma=90.00
Space group I4/mmm (No. 139)
One atom of each set of equivalent atoms:
1 La 0.0000 0.3302 0.0000
2 Dy 0.0000 0.0000 0.0000
3 Tm 0.1639 0.1639 0.5000

Computed properties:
The calculation puts the total magnetic moment at 0.00 μB per formula unit.

Stability summary: most stable b), least stable a).

a) A relaxed structure of La3Dy6Tm. Source: Alexandria, functional PBE.

Unit cell a=11.0345 b=19.0685 c=6.3691 alpha=90.00 beta=90.00 gamma=90.00
Space group Cmc2_1 (No. 36)
One atom of each set of equivalent atoms:
1 La 0.0000 0.1125 0.0000
2 La 0.1730 0.3864 0.6022
3 Dy 0.0000 0.2258 0.4271
4 Dy 0.0000 0.4618 0.1908
5 Dy 0.1684 0.0465 0.5189
6 Dy 0.2411 0.2108 0.7005
7 Tm 0.0000 0.3052 0.9465

Computed properties:
The calculation puts the total magnetic moment at 0.00 μB per formula unit.

b) A relaxed structure of La3Dy6Tm. Source: Alexandria, functional PBE.

Unit cell a=9.9227 b=9.9227 c=11.6857 alpha=90.00 beta=90.00 gamma=120.00
Space group R-3 (No. 148, hexagonal axes)
One atom of each set of equivalent atoms:
1 La 0.0000 0.0000 0.0000
2 La 0.0000 0.0000 0.2473
3 Dy 0.0053 0.3287 0.2501
4 Tm 0.0000 0.0000 0.5000

Computed properties:
The calculation puts the total magnetic moment at 0.01 μB per formula unit.

Stability summary: most stable a), least stable b).

a) A relaxed structure of LaDy7Tm2. Source: Alexandria, functional PBE.

Unit cell a=6.1566 b=7.1037 c=7.9389 alpha=77.15 beta=75.04 gamma=73.28
Space group P-1 (No. 2)
One atom of each set of equivalent atoms:
1 La 0.0000 0.0000 0.0000
2 Dy 0.0000 0.5000 0.0000
3 Dy 0.1998 0.3015 0.5982
4 Dy 0.4000 0.0998 0.2024
5 Dy 0.4019 0.5982 0.2026
6 Tm 0.1999 0.7996 0.5986

Computed properties:
The calculation puts the total magnetic moment at 0.00 μB per formula unit.

b) A relaxed structure of LaDy7Tm2. Source: Alexandria, functional PBE.

Unit cell a=8.7678 b=15.9152 c=5.6703 alpha=90.00 beta=90.00 gamma=90.00
Space group Cmmm (No. 65)
One atom of each set of equivalent atoms:
1 La 0.0000 0.0000 0.0000
2 Dy 0.0000 0.2231 0.0000
3 Dy 0.0000 0.5000 0.5000
4 Dy 0.1773 0.1177 0.5000
5 Tm 0.0000 0.2967 0.5000

Computed properties:
The calculation puts the total magnetic moment at 0.00 μB per formula unit.

Stability summary: most stable a), least stable b).

a) A relaxed structure of La3DyTm6. Source: Alexandria, functional PBE.

Unit cell a=9.4170 b=15.5454 c=8.9057 alpha=90.00 beta=90.00 gamma=90.00
Space group Cmc2_1 (No. 36)
One atom of each set of equivalent atoms:
1 La 0.0000 0.0505 0.0000
2 La 0.2472 0.4374 0.1792
3 Dy 0.0000 0.2255 0.7531
4 Tm 0.0000 0.2809 0.1193
5 Tm 0.0000 0.4452 0.8636
6 Tm 0.1723 0.3529 0.5123
7 Tm 0.1790 0.1547 0.3561

Computed properties:
The calculation puts the total magnetic moment at 0.00 μB per formula unit.

b) A relaxed structure of La3DyTm6. Source: Alexandria, functional PBE.

Unit cell a=9.8734 b=9.8734 c=11.5596 alpha=90.00 beta=90.00 gamma=120.00
Space group R-3 (No. 148, hexagonal axes)
One atom of each set of equivalent atoms:
1 La 0.0000 0.0000 0.0000
2 La 0.0000 0.0000 0.2483
3 Dy 0.0000 0.0000 0.5000
4 Tm 0.0040 0.6621 0.9168

Computed properties:
The calculation puts the total magnetic moment at 0.00 μB per formula unit.

Stability summary: most stable a), least stable b).

a) A relaxed structure of LaDy5Tm3. Source: Alexandria, functional PBE.

Unit cell a=19.1023 b=6.0396 c=11.0833 alpha=90.00 beta=112.37 gamma=90.00
Space group C2/c (No. 15)
One atom of each set of equivalent atoms:
1 La 0.0000 0.1518 0.2500
2 Dy 0.0000 0.3683 0.7500
3 Dy 0.1653 0.2563 0.6967
4 Dy 0.1683 0.2671 0.0288
5 Tm 0.0000 0.0000 0.0000
6 Tm 0.1764 0.2255 0.3658

Computed properties:
The calculation puts the total magnetic moment at 0.00 μB per formula unit.

b) A relaxed structure of LaDy5Tm3. Source: Alexandria, functional PBE.

Unit cell a=16.9654 b=7.9636 c=12.1414 alpha=90.00 beta=130.68 gamma=90.00
Space group C2/m (No. 12)
One atom of each set of equivalent atoms:
1 La 0.2370 0.0000 0.1381
2 Dy 0.0000 0.3219 0.0000
3 Dy 0.0638 0.2080 0.7790
4 Dy 0.1237 0.0000 0.5688
5 Dy 0.2007 0.5000 0.0710
6 Tm 0.0000 0.0000 0.0000
7 Tm 0.0000 0.5000 0.5000
8 Tm 0.1225 0.5000 0.3206
9 Tm 0.1631 0.0000 0.3375

Computed properties:
The calculation puts the total magnetic moment at 0.00 μB per formula unit.

Stability summary: most stable a), least stable b).

a) A relaxed structure of LaDy12Tm6. Source: Alexandria, functional PBE.

Unit cell a=11.8374 b=11.8374 c=15.1141 alpha=90.00 beta=90.00 gamma=120.00
Space group R-3 (No. 148, hexagonal axes)
One atom of each set of equivalent atoms:
1 La 0.0000 0.0000 0.0000
2 Dy 0.0167 0.8341 0.1917
3 Dy 0.0403 0.8500 0.4158
4 Tm 0.0082 0.4225 0.6798

Computed properties:
The calculation puts the total magnetic moment at 0.00 μB per formula unit.

b) A relaxed structure of LaDy12Tm6. Source: Alexandria, functional PBE.

Unit cell a=14.9038 b=14.9038 c=10.1167 alpha=90.00 beta=90.00 gamma=120.00
Space group R-3m (No. 166, hexagonal axes)
One atom of each set of equivalent atoms:
1 La 0.0000 0.0000 0.0000
2 Dy 0.0000 0.3886 0.5000
3 Dy 0.0734 0.1468 0.3000
4 Tm 0.0510 0.5255 0.2169

Computed properties:
The calculation puts the total magnetic moment at 0.00 μB per formula unit.

Stability summary: most stable a), least stable b).

a) A relaxed structure of La2Dy4Tm3. Source: Alexandria, functional PBE.

Unit cell a=3.5925 b=3.5925 c=26.3699 alpha=90.00 beta=90.00 gamma=120.00
Space group P3m1 (No. 156)
One atom of each set of equivalent atoms:
1 La 0.0000 0.0000 0.0000
2 La 0.0000 0.0000 0.2223
3 Dy 0.0000 0.0000 0.3570
4 Dy 0.0000 0.0000 0.5671
5 Dy 0.3333 0.6667 0.6746
6 Dy 0.3333 0.6667 0.8856
7 Tm 0.0000 0.0000 0.7806
8 Tm 0.3333 0.6667 0.1134
9 Tm 0.3333 0.6667 0.4608

Computed properties:
The calculation puts the total magnetic moment at 0.13 μB per formula unit.

b) A relaxed structure of La2Dy4Tm3. Source: Alexandria, functional PBE.

Unit cell a=6.1017 b=12.3547 c=15.9491 alpha=90.00 beta=90.00 gamma=90.00
Space group Fmmm (No. 69)
One atom of each set of equivalent atoms:
1 La 0.0000 0.0000 0.1154
2 Dy 0.0000 0.1446 0.3129
3 Tm 0.0000 0.0000 0.5000
4 Tm 0.2500 0.2500 0.0000

Computed properties:
The calculation puts the total magnetic moment at 0.00 μB per formula unit.

Stability summary: most stable a), least stable b).

a) A relaxed structure of LaDyTm. Source: Alexandria, functional PBE.

Unit cell a=3.6084 b=3.6084 c=15.1634 alpha=90.00 beta=90.00 gamma=90.00
Space group I4mm (No. 107)
One atom of each set of equivalent atoms:
1 La 0.0000 0.0000 0.0000
2 Dy 0.0000 0.0000 0.6710
3 Tm 0.0000 0.0000 0.3306

Computed properties:
The calculation puts the total magnetic moment at 0.00 μB per formula unit.

b) A relaxed structure of LaDyTm. Source: Alexandria, functional PBE.

Unit cell a=5.0458 b=15.3738 c=5.1006 alpha=90.00 beta=90.00 gamma=90.00
Space group Cmcm (No. 63)
One atom of each set of equivalent atoms:
1 La 0.0000 0.0829 0.2500
2 Dy 0.0000 0.2484 0.7500
3 Tm 0.0000 0.4149 0.2500

Computed properties:
The calculation puts the total magnetic moment at 0.00 μB per formula unit.

Stability summary: most stable a), least stable b).

a) A relaxed structure of LaDyTm. Source: Alexandria, functional PBE.

Unit cell a=3.5547 b=20.3276 c=5.4693 alpha=90.00 beta=90.00 gamma=90.00
Space group Cmcm (No. 63)
One atom of each set of equivalent atoms:
1 La 0.0000 0.2051 0.2500
2 Dy 0.0000 0.0396 0.2500
3 Tm 0.0000 0.3878 0.2500

Computed properties:
The calculation puts the total magnetic moment at 0.00 μB per formula unit.

b) A relaxed structure of LaDyTm. Source: Alexandria, functional PBE.

Unit cell a=5.7089 b=5.7089 c=3.5026 alpha=90.00 beta=90.00 gamma=120.00
Space group P-6m2 (No. 187)
One atom of each set of equivalent atoms:
1 La 0.0000 0.0000 0.0000
2 Dy 0.6667 0.3333 0.5000
3 Tm 0.3333 0.6667 0.5000

Computed properties:
The calculation puts the total magnetic moment at 0.00 μB per formula unit.

Stability summary: most stable a), least stable b).

a) A relaxed structure of LaDy2Tm3. Source: Alexandria, functional PBE.

Unit cell a=3.5748 b=18.5070 c=11.5228 alpha=90.00 beta=90.00 gamma=90.00
Space group Cmcm (No. 63)
One atom of each set of equivalent atoms:
1 La 0.0000 0.2213 0.2500
2 Dy 0.0000 0.0000 0.0000
3 Dy 0.0000 0.4459 0.7500
4 Tm 0.0000 0.1082 0.7500
5 Tm 0.0000 0.3347 0.0052

Computed properties:
The calculation puts the total magnetic moment at 0.00 μB per formula unit.

b) A relaxed structure of LaDy2Tm3. Source: Alexandria, functional PBE.

Unit cell a=21.8569 b=3.6304 c=11.3024 alpha=90.00 beta=120.93 gamma=90.00
Space group C2/m (No. 12)
One atom of each set of equivalent atoms:
1 La 0.1111 0.0000 0.4844
2 Dy 0.0579 0.5000 0.6905
3 Dy 0.2247 0.0000 0.8514
4 Tm 0.0551 0.5000 0.1745
5 Tm 0.1109 0.0000 0.9884
6 Tm 0.2206 0.0000 0.3442

Computed properties:
The calculation puts the total magnetic moment at 0.00 μB per formula unit.

Stability summary: most stable b), least stable a).